(1)
Entry from Alexandria: a relaxed structure of Tb3Sm8Dy (GGA-PBE).

Structure (CIF):
```
data_Tb3Sm8Dy
_chemical_formula_sum 'Tb3 Sm8 Dy1'
_cell_length_a 11.993
_cell_length_b 12.645
_cell_length_c 9.752
_cell_angle_alpha 146.94
_cell_angle_beta 90.00
_cell_angle_gamma 118.31
_symmetry_space_group_name_H-M 'P 1'
_symmetry_Int_Tables_number 1
loop_
_symmetry_equiv_pos_as_xyz
'x,y,z'
loop_
_atom_site_label
_atom_site_type_symbol
_atom_site_fract_x
_atom_site_fract_y
_atom_site_fract_z
Sm1 Sm 0.322 0.147 0.981
Sm2 Sm 0.678 0.853 0.019
Sm3 Sm 0.177 0.355 0.020
Sm4 Sm 0.677 0.355 0.022
Tb1 Tb 0.500 0.000 0.000
Sm5 Sm 0.176 0.853 0.019
Sm6 Sm 0.824 0.147 0.981
Sm7 Sm 0.323 0.645 0.978
Tb2 Tb 0.000 0.500 0.000
Sm8 Sm 0.823 0.645 0.980
Tb3 Tb 0.500 0.500 0.000
Dy1 Dy 0.000 0.000 0.000
```

Computed properties:
energy of formation from the pure elements	0.121	eV/atom
DOS(E_F)	26.37	states/eV per cell
energy	-4.5661	eV/atom
V	33.2	Å³ per atom
symmetry	C2/m

---

(2)
Entry from Alexandria: a relaxed structure of TbSm8Dy2 (GGA-PBE).

Structure (CIF):
```
data_TbSm8Dy2
_chemical_formula_sum 'Tb1 Sm8 Dy2'
_cell_length_a 6.696
_cell_length_b 10.315
_cell_length_c 10.315
_cell_angle_alpha 38.18
_cell_angle_beta 59.62
_cell_angle_gamma 59.62
_symmetry_space_group_name_H-M 'P 1'
_symmetry_Int_Tables_number 1
loop_
_symmetry_equiv_pos_as_xyz
'x,y,z'
loop_
_atom_site_label
_atom_site_type_symbol
_atom_site_fract_x
_atom_site_fract_y
_atom_site_fract_z
Sm1 Sm 0.771 0.650 0.174
Dy1 Dy 0.594 0.801 0.801
Sm2 Sm 0.229 0.350 0.826
Sm3 Sm 0.273 0.408 0.408
Sm4 Sm 0.771 0.174 0.650
Sm5 Sm 0.229 0.826 0.350
Tb1 Tb 0.000 0.000 0.000
Sm6 Sm 0.727 0.592 0.592
Sm7 Sm 0.827 0.244 0.244
Sm8 Sm 0.173 0.756 0.756
Dy2 Dy 0.406 0.199 0.199
```

Computed properties:
energy of formation from the pure elements	0.169	eV/atom
DOS(E_F)	17.70	states/eV per cell
energy	-4.5208	eV/atom
V	33.8	Å³ per atom
energy relative to the lowest polymorph listed for this composition	0.046	eV/atom
symmetry	C2/m

---

(3)
Entry from Alexandria: a relaxed structure of Tb3Sm2Dy7 (GGA-PBE).

Structure (CIF):
```
data_Tb3Sm2Dy7
_chemical_formula_sum 'Tb3 Sm2 Dy7'
_cell_length_a 5.520
_cell_length_b 6.133
_cell_length_c 12.154
_cell_angle_alpha 92.18
_cell_angle_beta 90.00
_cell_angle_gamma 90.00
_symmetry_space_group_name_H-M 'P 1'
_symmetry_Int_Tables_number 1
loop_
_symmetry_equiv_pos_as_xyz
'x,y,z'
loop_
_atom_site_label
_atom_site_type_symbol
_atom_site_fract_x
_atom_site_fract_y
_atom_site_fract_z
Sm1 Sm 0.500 0.395 0.719
Dy1 Dy 0.500 0.766 0.549
Tb1 Tb 0.500 0.500 0.000
Tb2 Tb 0.000 0.051 0.662
Sm2 Sm 0.500 0.605 0.281
Dy2 Dy 0.500 0.916 0.834
Dy3 Dy 0.000 0.559 0.823
Dy4 Dy 0.500 0.234 0.451
Dy5 Dy 0.500 0.084 0.166
Dy6 Dy 0.000 0.000 0.000
Tb3 Tb 0.000 0.949 0.338
Dy7 Dy 0.000 0.441 0.177
```

Computed properties:
energy of formation from the pure elements	0.314	eV/atom
DOS(E_F)	19.24	states/eV per cell
energy	-4.3148	eV/atom
V	34.3	Å³ per atom
energy relative to the lowest polymorph listed for this composition	0.228	eV/atom
symmetry	P2/m

---

(4)
Entry from Alexandria: a relaxed structure of Tb3Sm4Dy4 (GGA-PBE).

Structure (CIF):
```
data_Tb3Sm4Dy4
_chemical_formula_sum 'Tb3 Sm4 Dy4'
_cell_length_a 3.519
_cell_length_b 5.657
_cell_length_c 18.183
_cell_angle_alpha 81.06
_cell_angle_beta 84.44
_cell_angle_gamma 89.99
_symmetry_space_group_name_H-M 'P 1'
_symmetry_Int_Tables_number 1
loop_
_symmetry_equiv_pos_as_xyz
'x,y,z'
loop_
_atom_site_label
_atom_site_type_symbol
_atom_site_fract_x
_atom_site_fract_y
_atom_site_fract_z
Tb1 Tb 0.863 0.364 0.272
Sm1 Sm 0.733 0.733 0.534
Dy1 Dy 0.546 0.546 0.909
Dy2 Dy 0.319 0.819 0.361
Tb2 Tb 0.000 0.000 0.000
Sm2 Sm 0.267 0.267 0.466
Dy3 Dy 0.681 0.181 0.639
Sm3 Sm 0.591 0.091 0.819
Dy4 Dy 0.454 0.454 0.091
Tb3 Tb 0.137 0.636 0.728
Sm4 Sm 0.410 0.909 0.181
```

Computed properties:
energy of formation from the pure elements	0.059	eV/atom
DOS(E_F)	18.13	states/eV per cell
energy	-4.5932	eV/atom
V	32.4	Å³ per atom
energy relative to the lowest polymorph listed for this composition	0.000	eV/atom
symmetry	P-1

---

(5)
Entry from Alexandria: a relaxed structure of Tb12SmDy6 (GGA-PBE).

Structure (CIF):
```
data_Tb12SmDy6
_chemical_formula_sum 'Tb12 Sm1 Dy6'
_cell_length_a 8.532
_cell_length_b 8.532
_cell_length_c 8.532
_cell_angle_alpha 88.61
_cell_angle_beta 88.61
_cell_angle_gamma 88.61
_symmetry_space_group_name_H-M 'P 1'
_symmetry_Int_Tables_number 1
loop_
_symmetry_equiv_pos_as_xyz
'x,y,z'
loop_
_atom_site_label
_atom_site_type_symbol
_atom_site_fract_x
_atom_site_fract_y
_atom_site_fract_z
Dy1 Dy 0.094 0.692 0.258
Tb1 Tb 0.435 0.775 0.541
Tb2 Tb 0.988 0.795 0.643
Tb3 Tb 0.643 0.988 0.795
Tb4 Tb 0.541 0.435 0.775
Dy2 Dy 0.258 0.094 0.692
Tb5 Tb 0.225 0.459 0.565
Tb6 Tb 0.775 0.541 0.435
Tb7 Tb 0.012 0.205 0.357
Tb8 Tb 0.565 0.225 0.459
Dy3 Dy 0.308 0.742 0.906
Sm1 Sm 0.000 0.000 0.000
Dy4 Dy 0.742 0.906 0.308
Tb9 Tb 0.795 0.643 0.988
Tb10 Tb 0.357 0.012 0.205
Dy5 Dy 0.906 0.308 0.742
Tb11 Tb 0.459 0.565 0.225
Tb12 Tb 0.205 0.357 0.012
Dy6 Dy 0.692 0.258 0.094
```

Computed properties:
energy of formation from the pure elements	0.152	eV/atom
DOS(E_F)	32.40	states/eV per cell
energy	-4.4741	eV/atom
V	32.7	Å³ per atom
energy relative to the lowest polymorph listed for this composition	0.000	eV/atom
symmetry	R-3

---

(6)
Entry from Alexandria: a relaxed structure of Tb3SmDy3 (GGA-PBE).

Structure (CIF):
```
data_Tb3SmDy3
_chemical_formula_sum 'Tb6 Sm2 Dy6'
_cell_length_a 6.177
_cell_length_b 6.177
_cell_length_c 14.695
_cell_angle_alpha 77.87
_cell_angle_beta 77.87
_cell_angle_gamma 60.00
_symmetry_space_group_name_H-M 'P 1'
_symmetry_Int_Tables_number 1
loop_
_symmetry_equiv_pos_as_xyz
'x,y,z'
loop_
_atom_site_label
_atom_site_type_symbol
_atom_site_fract_x
_atom_site_fract_y
_atom_site_fract_z
Dy1 Dy 0.933 0.267 0.201
Tb1 Tb 0.801 0.133 0.602
Dy2 Dy 0.267 0.599 0.201
Sm1 Sm 0.333 0.333 0.000
Tb2 Tb 0.133 0.464 0.602
Tb3 Tb 0.867 0.536 0.398
Tb4 Tb 0.199 0.867 0.398
Dy3 Dy 0.733 0.401 0.799
Dy4 Dy 0.401 0.067 0.799
Sm2 Sm 0.667 0.667 0.000
Dy5 Dy 0.067 0.733 0.799
Dy6 Dy 0.599 0.933 0.201
Tb5 Tb 0.536 0.199 0.398
Tb6 Tb 0.464 0.801 0.602
```

Computed properties:
energy of formation from the pure elements	0.140	eV/atom
DOS(E_F)	19.73	states/eV per cell
energy	-4.4911	eV/atom
V	33.7	Å³ per atom
energy relative to the lowest polymorph listed for this composition	0.127	eV/atom
symmetry	R-3

---

(7)
Entry from Alexandria: a relaxed structure of Tb8Sm3Dy2 (GGA-PBE).

Structure (CIF):
```
data_Tb8Sm3Dy2
_chemical_formula_sum 'Tb8 Sm3 Dy2'
_cell_length_a 6.181
_cell_length_b 7.983
_cell_length_c 9.462
_cell_angle_alpha 64.98
_cell_angle_beta 90.11
_cell_angle_gamma 97.45
_symmetry_space_group_name_H-M 'P 1'
_symmetry_Int_Tables_number 1
loop_
_symmetry_equiv_pos_as_xyz
'x,y,z'
loop_
_atom_site_label
_atom_site_type_symbol
_atom_site_fract_x
_atom_site_fract_y
_atom_site_fract_z
Tb1 Tb 0.230 0.385 0.078
Tb2 Tb 0.309 0.846 0.768
Tb3 Tb 0.691 0.154 0.232
Dy1 Dy 0.384 0.307 0.462
Sm1 Sm 0.461 0.768 0.155
Tb4 Tb 0.847 0.077 0.614
Dy2 Dy 0.616 0.693 0.538
Tb5 Tb 0.078 0.463 0.691
Tb6 Tb 0.770 0.615 0.922
Sm2 Sm 0.539 0.232 0.845
Tb7 Tb 0.922 0.537 0.309
Sm3 Sm 0.000 0.000 0.000
Tb8 Tb 0.153 0.923 0.386
```

Computed properties:
energy of formation from the pure elements	0.015	eV/atom
DOS(E_F)	17.86	states/eV per cell
energy	-4.6310	eV/atom
V	32.2	Å³ per atom
energy relative to the lowest polymorph listed for this composition	0.000	eV/atom
symmetry	P-1

---

(8)
Entry from Alexandria: a relaxed structure of Tb2SmDy7 (GGA-PBE).

Structure (CIF):
```
data_Tb2SmDy7
_chemical_formula_sum 'Tb2 Sm1 Dy7'
_cell_length_a 5.437
_cell_length_b 9.368
_cell_length_c 9.368
_cell_angle_alpha 124.80
_cell_angle_beta 90.00
_cell_angle_gamma 90.00
_symmetry_space_group_name_H-M 'P 1'
_symmetry_Int_Tables_number 1
loop_
_symmetry_equiv_pos_as_xyz
'x,y,z'
loop_
_atom_site_label
_atom_site_type_symbol
_atom_site_fract_x
_atom_site_fract_y
_atom_site_fract_z
Tb1 Tb 0.500 0.703 0.297
Dy1 Dy 0.500 0.935 0.710
Dy2 Dy 0.000 0.206 0.794
Dy3 Dy 0.000 0.794 0.206
Tb2 Tb 0.500 0.297 0.703
Dy4 Dy 0.500 0.290 0.065
Dy5 Dy 0.500 0.065 0.290
Dy6 Dy 0.500 0.500 0.500
Dy7 Dy 0.500 0.710 0.935
Sm1 Sm 0.000 0.000 0.000
```

Computed properties:
energy of formation from the pure elements	0.696	eV/atom
DOS(E_F)	15.03	states/eV per cell
energy	-3.9230	eV/atom
V	39.2	Å³ per atom
energy relative to the lowest polymorph listed for this composition	0.678	eV/atom
symmetry	Cmmm

---

(9)
Entry from Alexandria: a relaxed structure of Tb3Sm6Dy2 (GGA-PBE).

Structure (CIF):
```
data_Tb3Sm6Dy2
_chemical_formula_sum 'Tb3 Sm6 Dy2'
_cell_length_a 4.767
_cell_length_b 4.767
_cell_length_c 17.092
_cell_angle_alpha 98.02
_cell_angle_beta 98.02
_cell_angle_gamma 90.00
_symmetry_space_group_name_H-M 'P 1'
_symmetry_Int_Tables_number 1
loop_
_symmetry_equiv_pos_as_xyz
'x,y,z'
loop_
_atom_site_label
_atom_site_type_symbol
_atom_site_fract_x
_atom_site_fract_y
_atom_site_fract_z
Sm1 Sm 0.880 0.380 0.759
Tb1 Tb 0.801 0.801 0.602
Sm2 Sm 0.120 0.620 0.241
Tb2 Tb 0.199 0.199 0.398
Sm3 Sm 0.380 0.880 0.759
Sm4 Sm 0.699 0.699 0.397
Sm5 Sm 0.301 0.301 0.603
Tb3 Tb 0.000 0.000 0.000
Sm6 Sm 0.620 0.120 0.241
Dy1 Dy 0.455 0.455 0.909
Dy2 Dy 0.545 0.545 0.091
```

Computed properties:
energy of formation from the pure elements	0.287	eV/atom
DOS(E_F)	16.15	states/eV per cell
energy	-4.3871	eV/atom
V	34.6	Å³ per atom
energy relative to the lowest polymorph listed for this composition	0.273	eV/atom
symmetry	I4/mmm

---

Q: Among the records above, which one has the lowest DOS(E_F)?
A: Tb2SmDy7